{"formula": "K2Mn2TlF7", "functional": "GGA+U", "state": "optimized geometry", "lattice_angstrom": [[4.2782, -0.0027, 0.0100], [0.0025, 4.2782, 0.0099], [2.1112, 2.1085, 11.0157]], "species": ["F", "F", "F", "F", "F", "F", "F", "K", "K", "Mn", "Mn", "Tl"], "fractional_positions": [[0.0994, 0.5993, 0.8009], [0.4004, 0.9007, 0.1991], [0.6949, 0.6949, 0.6093], [0.5000, 0.5000, 0.0000], [0.3051, 0.3051, 0.3907], [0.5996, 0.0993, 0.8009], [0.9006, 0.4007, 0.1991], [0.8139, 0.8141, 0.3732], [0.1861, 0.1859, 0.6268], [0.5989, 0.5988, 0.8017], [0.4011, 0.4012, 0.1983], [0.0000, 0.0000, 0.0000]], "space_group": "I4/mmm, No. 139", "volume_a3_per_cell": 201.4, "energy_ev_per_atom": -5.309}